No. 1
A plane-wave DFT calculation with PBE was carried out for an optimized crystal structure of LiCePrSe3.

* E_form (uncorrected): -1.654 eV/atom
* volume: 26.08 Å³/atom
* total magnetization: 0.21 μB/atom
* SG: P2_1/m, No. 11
* mass density: 5.6 g cm⁻³
* crystal system: monoclinic
* DOS at the Fermi energy: 15.82 states/eV per cell

The structure in CIF format:
```
data_LiCePrSe3
_cell_length_a 4.0806
_cell_length_b 8.7249
_cell_length_c 8.9874
_cell_angle_alpha 101.98
_cell_angle_beta 90.00
_cell_angle_gamma 90.00
_space_group_name_H-M_alt 'P 1'
_space_group_IT_number 1
loop_
_space_group_symop_operation_xyz
'x,y,z'
loop_
_atom_site_label
_atom_site_type_symbol
_atom_site_fract_x
_atom_site_fract_y
_atom_site_fract_z
Se1 Se 0.7500 0.2102 0.4914
Se2 Se 0.2500 0.0914 0.8666
Se3 Se 0.2500 0.5829 0.8228
Se4 Se 0.2500 0.7898 0.5086
Se5 Se 0.7500 0.9086 0.1334
Se6 Se 0.7500 0.4171 0.1772
Ce1 Ce 0.7500 0.8224 0.7805
Ce2 Ce 0.2500 0.1776 0.2195
Li1 Li 0.2500 0.0858 0.5838
Li2 Li 0.7500 0.9142 0.4162
Pr1 Pr 0.7500 0.3377 0.8348
Pr2 Pr 0.2500 0.6623 0.1652
```


No. 2
A plane-wave DFT calculation with PBE was carried out for an optimized crystal structure of Li3CePr2Se6.

* E_form (uncorrected): -1.634 eV/atom
* volume: 25.27 Å³/atom
* total magnetization: 0.08 μB/atom
* SG: C2/m, No. 12
* mass density: 5.0 g cm⁻³
* crystal system: monoclinic
* DOS at the Fermi energy: 5.61 states/eV per cell

The structure in CIF format:
```
data_Li3CePr2Se6
_cell_length_a 7.3271
_cell_length_b 7.3271
_cell_length_c 6.9653
_cell_angle_alpha 100.10
_cell_angle_beta 100.10
_cell_angle_gamma 120.00
_space_group_name_H-M_alt 'P 1'
_space_group_IT_number 1
loop_
_space_group_symop_operation_xyz
'x,y,z'
loop_
_atom_site_label
_atom_site_type_symbol
_atom_site_fract_x
_atom_site_fract_y
_atom_site_fract_z
Li1 Li 0.8339 0.1661 0.5000
Li2 Li 0.1661 0.8339 0.5000
Li3 Li 0.5000 0.5000 0.5000
Pr1 Pr 0.3332 0.6668 0.0000
Pr2 Pr 0.6668 0.3332 0.0000
Se1 Se 0.2439 0.2439 0.7400
Se2 Se 0.0870 0.4176 0.2611
Se3 Se 0.7561 0.7561 0.2600
Se4 Se 0.5824 0.9130 0.7389
Se5 Se 0.9130 0.5824 0.7389
Se6 Se 0.4176 0.0870 0.2611
Ce1 Ce 0.0000 0.0000 0.0000
```